1.
DFT (PBE) results for crystalline SrTiSeN2 at its relaxed geometry.

Computed properties:
Its total energy is -6.4884 eV/atom. The raw formation energy comes out at -0.55 eV/atom. Its energy relative to the lowest polymorph listed for this composition is 0.00 eV per formula unit.

Unit cell a=4.0971 b=4.0971 c=5.2050 alpha=90.00 beta=90.00 gamma=90.00
Last column: nearest neighbours and their distance in Å.
Space group P4/mmm (No. 123)
Asymmetric unit:
Sr 0.0000 0.0000 0.0000 (multiplicity 1)  4 Se 2.90
Ti 0.5000 0.5000 0.5000 (multiplicity 1)  4 N 2.05
Se 0.5000 0.5000 0.0000 (multiplicity 1)  2 Ti 2.60, 4 Sr 2.90
N 0.0000 0.5000 0.5000 (multiplicity 2)  2 Ti 2.05



2.
DFT (PBE) results for crystalline SrTiSe2N at its relaxed geometry.

Computed properties:
Its total energy is -3.9961 eV/atom. The raw formation energy comes out at 0.98 eV/atom. Its energy relative to the lowest polymorph listed for this composition is 9.95 eV per formula unit.

Unit cell a=5.5721 b=5.5721 c=4.2955 alpha=90.00 beta=90.00 gamma=90.00
Last column: nearest neighbours and their distance in Å.
Space group P4/mmm (No. 123)
Asymmetric unit:
Sr 0.0000 0.0000 0.0000 (multiplicity 1)  2 N 2.15
Ti 0.5000 0.5000 0.5000 (multiplicity 1)  8 Se 3.52
Se 0.0000 0.5000 0.0000 (multiplicity 2)  2 Sr 2.79
N 0.0000 0.0000 0.5000 (multiplicity 1)  2 Sr 2.15



3.
DFT (PBE) results for crystalline SrTlSeN2 at its relaxed geometry.

Computed properties:
Its total energy is -3.7956 eV/atom. The raw formation energy comes out at 1.04 eV/atom. Its energy relative to the lowest polymorph listed for this composition is 1.39 eV per formula unit.

Unit cell a=4.9723 b=4.9723 c=6.1397 alpha=90.00 beta=90.00 gamma=90.00
Last column: nearest neighbours and their distance in Å.
Space group P4/mmm (No. 123)
Asymmetric unit:
Sr 0.0000 0.0000 0.0000 (multiplicity 1)  4 N 2.49
Tl 0.5000 0.5000 0.5000 (multiplicity 1)  4 Se 3.52
Se 0.0000 0.0000 0.5000 (multiplicity 1)  2 Sr 3.07
N 0.0000 0.5000 0.0000 (multiplicity 2)  2 Sr 2.49



4.
DFT (PBE) results for crystalline SrTlSeN2 at its relaxed geometry.

Computed properties:
Its total energy is -4.0733 eV/atom. The raw formation energy comes out at 0.76 eV/atom. Its energy relative to the lowest polymorph listed for this composition is 0.00 eV per formula unit.

Unit cell a=4.5077 b=4.5077 c=5.7202 alpha=90.00 beta=90.00 gamma=90.00
Last column: nearest neighbours and their distance in Å.
Space group P4/mmm (No. 123)
Asymmetric unit:
Sr 0.0000 0.0000 0.0000 (multiplicity 1)  4 Se 3.19
Tl 0.5000 0.5000 0.5000 (multiplicity 1)  4 N 2.25
Se 0.5000 0.5000 0.0000 (multiplicity 1)  2 Tl 2.86, 4 Sr 3.19
N 0.0000 0.5000 0.5000 (multiplicity 2)  2 Tl 2.25



5.
DFT (PBE) results for crystalline Sr2USe2N2 at its relaxed geometry.

Computed properties:
Its total energy is -7.0569 eV/atom. The raw formation energy comes out at -1.59 eV/atom.

Unit cell a=4.3058 b=4.3058 c=16.5322 alpha=90.00 beta=90.00 gamma=90.00
Last column: nearest neighbours and their distance in Å.
Space group I4/mmm (No. 139)
Asymmetric unit:
Sr 0.0000 0.0000 0.1307 (multiplicity 4)  4 N 3.05, 5 Se 3.12-3.27
U 0.0000 0.0000 0.5000 (multiplicity 2)  4 N 2.15
Se 0.0000 0.0000 0.3286 (multiplicity 4)  1 U 2.83, 4 Sr 3.12
N 0.0000 0.5000 0.0000 (multiplicity 4)  2 U 2.15



6.
DFT (PBE) results for crystalline SrVSe2N at its relaxed geometry.

Computed properties:
Its total energy is -3.8567 eV/atom. The raw formation energy comes out at 1.36 eV/atom. Its energy relative to the lowest polymorph listed for this composition is 10.95 eV per formula unit.

Unit cell a=5.6263 b=5.6263 c=4.3411 alpha=90.00 beta=90.00 gamma=90.00
Last column: nearest neighbours and their distance in Å.
Space group P4/mmm (No. 123)
Asymmetric unit:
Sr 0.0000 0.0000 0.0000 (multiplicity 1)  2 N 2.17
V 0.5000 0.5000 0.5000 (multiplicity 1)  8 Se 3.55, 4 N 3.98
Se 0.0000 0.5000 0.0000 (multiplicity 2)  2 Sr 2.81
N 0.0000 0.0000 0.5000 (multiplicity 1)  2 Sr 2.17



We obtain magnetic moment values of 0.9, 0.1, 4.9, 3.0, 0.0, 0.1 μB/f.u. for the records listed above, in that order.